Version i
# CdSiHg2

Crystalline CdSiHg2 at its relaxed geometry (PBE-GGA, the Alexandria database).

Structure (CIF):
```
data_CdSiHg2
_chemical_formula_sum 'Cd1 Si1 Hg2'
_symmetry_space_group_name_H-M 'P m m 2'
_symmetry_Int_Tables_number 25
_symmetry_space_group_name_Hall 'P 2 -2'
_cell_length_a 3.445
_cell_length_b 4.570
_cell_length_c 5.917
_cell_angle_alpha 90.00
_cell_angle_beta 90.00
_cell_angle_gamma 90.00
loop_
_atom_site_label
_atom_site_type_symbol
_atom_site_fract_x
_atom_site_fract_y
_atom_site_fract_z
_atom_site_occupancy
Cd1 Cd 0.000 0.000 0.000 1
Si1 Si 0.500 0.500 0.871 1
Hg1 Hg 0.000 0.000 0.515 1
Hg2 Hg 0.500 0.500 0.338 1
```

Version ii
# CdSiHg2

Crystalline CdSiHg2 at its relaxed geometry (PBE-GGA, the Alexandria database).

Structure (CIF):
```
data_CdSiHg2
_chemical_formula_sum 'Cd4 Si4 Hg8'
_symmetry_space_group_name_H-M 'F m -3 m'
_symmetry_Int_Tables_number 225
_symmetry_space_group_name_Hall '-F 4 2 3'
_cell_length_a 7.080
_cell_length_b 7.080
_cell_length_c 7.080
_cell_angle_alpha 90.00
_cell_angle_beta 90.00
_cell_angle_gamma 90.00
loop_
_atom_site_label
_atom_site_type_symbol
_atom_site_fract_x
_atom_site_fract_y
_atom_site_fract_z
_atom_site_occupancy
Cd1 Cd 0.000 0.000 0.000 1
Si1 Si 0.000 0.000 0.500 1
Hg1 Hg 0.250 0.250 0.250 1
```

Version iii
# CdSiHg2

Crystalline CdSiHg2 at its relaxed geometry (PBE-GGA, the Alexandria database).

Structure (CIF):
```
data_CdSiHg2
_chemical_formula_sum 'Cd3 Si3 Hg6'
_symmetry_space_group_name_H-M 'R 3 m'
_symmetry_Int_Tables_number 160
_symmetry_space_group_name_Hall 'R 3 -2"'
_cell_length_a 2.9643
_cell_length_b 2.9643
_cell_length_c 36.1363
_cell_angle_alpha 90.00
_cell_angle_beta 90.00
_cell_angle_gamma 120.00
loop_
_atom_site_label
_atom_site_type_symbol
_atom_site_fract_x
_atom_site_fract_y
_atom_site_fract_z
_atom_site_occupancy
Cd1 Cd 0.0000 0.0000 0.0000 1
Si1 Si 0.0000 0.0000 0.7404 1
Hg1 Hg 0.0000 0.0000 0.2461 1
Hg2 Hg 0.0000 0.0000 0.4883 1
```

Version iv
# CdSiHg2

Crystalline CdSiHg2 at its relaxed geometry (PBE-GGA, the Alexandria database).

Structure (CIF):
```
data_CdSiHg2
_chemical_formula_sum 'Cd1 Si1 Hg2'
_symmetry_space_group_name_H-M 'P 1 2/m 1'
_symmetry_Int_Tables_number 10
_symmetry_space_group_name_Hall '-P 2y'
_cell_length_a 2.907
_cell_length_b 3.735
_cell_length_c 8.411
_cell_angle_alpha 90.00
_cell_angle_beta 90.16
_cell_angle_gamma 90.00
loop_
_atom_site_label
_atom_site_type_symbol
_atom_site_fract_x
_atom_site_fract_y
_atom_site_fract_z
_atom_site_occupancy
Cd1 Cd 0.000 0.000 0.000 1
Si1 Si 0.500 0.000 0.500 1
Hg1 Hg 0.489 0.500 0.259 1
```

Most favorable first, least favorable last: version iii, version iv, version i, version ii

Version i
# CdSiHg2

Crystalline CdSiHg2 at its relaxed geometry (PBE-GGA, the Alexandria database).

Structure (CIF):
```
data_CdSiHg2
_chemical_formula_sum 'Cd2 Si2 Hg4'
_symmetry_space_group_name_H-M 'C 1 m 1'
_symmetry_Int_Tables_number 8
_symmetry_space_group_name_Hall 'C -2y'
_cell_length_a 13.361
_cell_length_b 3.196
_cell_length_c 4.622
_cell_angle_alpha 90.00
_cell_angle_beta 109.97
_cell_angle_gamma 90.00
loop_
_atom_site_label
_atom_site_type_symbol
_atom_site_fract_x
_atom_site_fract_y
_atom_site_fract_z
_atom_site_occupancy
Cd1 Cd 0.000 0.000 0.000 1
Si1 Si 0.195 0.500 0.195 1
Hg1 Hg 0.194 0.000 0.694 1
Hg2 Hg 0.399 0.000 0.400 1
```

Version ii
# CdSiHg2

Crystalline CdSiHg2 at its relaxed geometry (PBE-GGA, the Alexandria database).

Structure (CIF):
```
data_CdSiHg2
_chemical_formula_sum 'Cd1 Si1 Hg2'
_symmetry_space_group_name_H-M 'P m m 2'
_symmetry_Int_Tables_number 25
_symmetry_space_group_name_Hall 'P 2 -2'
_cell_length_a 5.367
_cell_length_b 5.690
_cell_length_c 3.099
_cell_angle_alpha 90.00
_cell_angle_beta 90.00
_cell_angle_gamma 90.00
loop_
_atom_site_label
_atom_site_type_symbol
_atom_site_fract_x
_atom_site_fract_y
_atom_site_fract_z
_atom_site_occupancy
Cd1 Cd 0.000 0.000 0.000 1
Si1 Si 0.000 0.500 0.001 1
Hg1 Hg 0.500 0.000 0.501 1
Hg2 Hg 0.500 0.500 0.002 1
```

Most favorable first, least favorable last: version i, version ii

Version i
# CdSiHg2

Crystalline CdSiHg2 at its relaxed geometry (PBE-GGA, the Alexandria database).

Structure (CIF):
```
data_CdSiHg2
_chemical_formula_sum 'Cd4 Si4 Hg8'
_symmetry_space_group_name_H-M 'I -4 2 d'
_symmetry_Int_Tables_number 122
_symmetry_space_group_name_Hall 'I -4 2bw'
_cell_length_a 5.923
_cell_length_b 5.923
_cell_length_c 14.365
_cell_angle_alpha 90.00
_cell_angle_beta 90.00
_cell_angle_gamma 90.00
loop_
_atom_site_label
_atom_site_type_symbol
_atom_site_fract_x
_atom_site_fract_y
_atom_site_fract_z
_atom_site_occupancy
Cd1 Cd 0.000 0.000 0.000 1
Si1 Si 0.000 0.000 0.500 1
Hg1 Hg 0.163 0.250 0.625 1
```

Version ii
# CdSiHg2

Crystalline CdSiHg2 at its relaxed geometry (PBE-GGA, the Alexandria database).

Structure (CIF):
```
data_CdSiHg2
_chemical_formula_sum 'Cd2 Si2 Hg4'
_symmetry_space_group_name_H-M 'I m m m'
_symmetry_Int_Tables_number 71
_symmetry_space_group_name_Hall '-I 2 2'
_cell_length_a 3.450
_cell_length_b 5.504
_cell_length_c 9.525
_cell_angle_alpha 90.00
_cell_angle_beta 90.00
_cell_angle_gamma 90.00
loop_
_atom_site_label
_atom_site_type_symbol
_atom_site_fract_x
_atom_site_fract_y
_atom_site_fract_z
_atom_site_occupancy
Cd1 Cd 0.000 0.000 0.000 1
Si1 Si 0.000 0.000 0.500 1
Hg1 Hg 0.000 0.500 0.234 1
```

Most favorable first, least favorable last: version ii, version i

Version i
# CdSiHg2

Crystalline CdSiHg2 at its relaxed geometry (PBE-GGA, the Alexandria database).

Structure (CIF):
```
data_CdSiHg2
_chemical_formula_sum 'Cd1 Si1 Hg2'
_symmetry_space_group_name_H-M 'P 4/m m m'
_symmetry_Int_Tables_number 123
_symmetry_space_group_name_Hall '-P 4 2'
_cell_length_a 3.245
_cell_length_b 3.245
_cell_length_c 8.330
_cell_angle_alpha 90.00
_cell_angle_beta 90.00
_cell_angle_gamma 90.00
loop_
_atom_site_label
_atom_site_type_symbol
_atom_site_fract_x
_atom_site_fract_y
_atom_site_fract_z
_atom_site_occupancy
Cd1 Cd 0.000 0.000 0.000 1
Si1 Si 0.000 0.000 0.500 1
Hg1 Hg 0.500 0.500 0.270 1
```

Version ii
# CdSiHg2

Crystalline CdSiHg2 at its relaxed geometry (PBE-GGA, the Alexandria database).

Structure (CIF):
```
data_CdSiHg2
_chemical_formula_sum 'Cd2 Si2 Hg4'
_symmetry_space_group_name_H-M 'C m m 2'
_symmetry_Int_Tables_number 35
_symmetry_space_group_name_Hall 'C 2 -2'
_cell_length_a 2.894
_cell_length_b 5.723
_cell_length_c 10.984
_cell_angle_alpha 90.00
_cell_angle_beta 90.00
_cell_angle_gamma 90.00
loop_
_atom_site_label
_atom_site_type_symbol
_atom_site_fract_x
_atom_site_fract_y
_atom_site_fract_z
_atom_site_occupancy
Cd1 Cd 0.000 0.000 0.000 1
Si1 Si 0.000 0.500 0.771 1
Hg1 Hg 0.000 0.000 0.530 1
Hg2 Hg 0.000 0.500 0.259 1
```

Version iii
# CdSiHg2

Crystalline CdSiHg2 at its relaxed geometry (PBE-GGA, the Alexandria database).

Structure (CIF):
```
data_CdSiHg2
_chemical_formula_sum 'Cd1 Si1 Hg2'
_symmetry_space_group_name_H-M 'P m m m'
_symmetry_Int_Tables_number 47
_symmetry_space_group_name_Hall '-P 2 2'
_cell_length_a 2.893
_cell_length_b 5.556
_cell_length_c 5.643
_cell_angle_alpha 90.00
_cell_angle_beta 90.00
_cell_angle_gamma 90.00
loop_
_atom_site_label
_atom_site_type_symbol
_atom_site_fract_x
_atom_site_fract_y
_atom_site_fract_z
_atom_site_occupancy
Cd1 Cd 0.000 0.000 0.000 1
Si1 Si 0.500 0.000 0.500 1
Hg1 Hg 0.000 0.500 0.500 1
Hg2 Hg 0.500 0.500 0.000 1
```

Most favorable first, least favorable last: version ii, version iii, version i

Version i
# CdSiHg2

Crystalline CdSiHg2 at its relaxed geometry (PBE-GGA, the Alexandria database).

Structure (CIF):
```
data_CdSiHg2
_chemical_formula_sum 'Cd2 Si2 Hg4'
_symmetry_space_group_name_H-M 'C 1 2/m 1'
_symmetry_Int_Tables_number 12
_symmetry_space_group_name_Hall '-C 2y'
_cell_length_a 12.064
_cell_length_b 2.845
_cell_length_c 5.747
_cell_angle_alpha 90.00
_cell_angle_beta 113.46
_cell_angle_gamma 90.00
loop_
_atom_site_label
_atom_site_type_symbol
_atom_site_fract_x
_atom_site_fract_y
_atom_site_fract_z
_atom_site_occupancy
Cd1 Cd 0.000 0.000 0.000 1
Si1 Si 0.000 0.500 0.500 1
Hg1 Hg 0.239 0.000 0.741 1
```

Version ii
# CdSiHg2

Crystalline CdSiHg2 at its relaxed geometry (PBE-GGA, the Alexandria database).

Structure (CIF):
```
data_CdSiHg2
_chemical_formula_sum 'Cd2 Si2 Hg4'
_symmetry_space_group_name_H-M 'I -4 m 2'
_symmetry_Int_Tables_number 119
_symmetry_space_group_name_Hall 'I -4 -2'
_cell_length_a 4.460
_cell_length_b 4.460
_cell_length_c 8.857
_cell_angle_alpha 90.00
_cell_angle_beta 90.00
_cell_angle_gamma 90.00
loop_
_atom_site_label
_atom_site_type_symbol
_atom_site_fract_x
_atom_site_fract_y
_atom_site_fract_z
_atom_site_occupancy
Cd1 Cd 0.000 0.000 0.000 1
Si1 Si 0.000 0.500 0.250 1
Hg1 Hg 0.000 0.000 0.500 1
Hg2 Hg 0.000 0.500 0.750 1
```

Version iii
# CdSiHg2

Crystalline CdSiHg2 at its relaxed geometry (PBE-GGA, the Alexandria database).

Structure (CIF):
```
data_CdSiHg2
_chemical_formula_sum 'Cd2 Si2 Hg4'
_symmetry_space_group_name_H-M 'C m m m'
_symmetry_Int_Tables_number 65
_symmetry_space_group_name_Hall '-C 2 2'
_cell_length_a 2.996
_cell_length_b 5.728
_cell_length_c 10.468
_cell_angle_alpha 90.00
_cell_angle_beta 90.00
_cell_angle_gamma 90.00
loop_
_atom_site_label
_atom_site_type_symbol
_atom_site_fract_x
_atom_site_fract_y
_atom_site_fract_z
_atom_site_occupancy
Cd1 Cd 0.000 0.000 0.000 1
Si1 Si 0.000 0.000 0.500 1
Hg1 Hg 0.000 0.500 0.262 1
```

Most favorable first, least favorable last: version i, version iii, version ii